Here is a geometry-optimized NaAg8Pd4 structure from Alexandria. Energies are from PBE.

Cell lengths 6.362, 6.362, 6.362 Å; angles 90.00, 90.00, 90.00 degrees
Positions (direct):
Na1 0.000 0.000 0.000
Ag1 0.258 0.258 0.258
Ag2 0.258 0.258 0.742
Ag3 0.258 0.742 0.258
Ag4 0.258 0.742 0.742
Ag5 0.742 0.258 0.258
Ag6 0.742 0.258 0.742
Ag7 0.742 0.742 0.258
Ag8 0.742 0.742 0.742
Pd1 0.000 0.000 0.500
Pd2 0.000 0.500 0.000
Pd3 0.500 0.000 0.000
Pd4 0.500 0.500 0.500

Calculated values
Its calculated total energy is -3.26 eV/atom. The energy above the most stable polymorph in this dataset is 32 meV per atom. The calculation puts the formation energy from the elements at 195 meV per atom. The density of states at the Fermi level comes out at 0.2167 states/eV/atom.

=====

Here is a geometry-optimized NaAg4Pd2 structure from Alexandria. Energies are from PBE.

Cell lengths 6.943, 6.943, 7.132 Å; angles 114.26, 114.26, 23.65 degrees
Positions (direct):
Na1 0.000 0.000 0.000
Ag1 0.080 0.080 0.699
Ag2 0.355 0.355 0.593
Ag3 0.645 0.645 0.407
Ag4 0.920 0.920 0.301
Pd1 0.223 0.223 0.141
Pd2 0.777 0.777 0.859

Calculated values
Its calculated total energy is -3.30 eV/atom. The energy above the most stable polymorph in this dataset is 56 meV per atom. The calculation puts the formation energy from the elements at 6 meV per atom. The density of states at the Fermi level comes out at 0.3987 states/eV/atom.

=====

Here is a geometry-optimized NaAg2Pd structure from Alexandria. Energies are from PBE.

Cell lengths 4.678, 4.678, 4.678 Å; angles 60.09, 60.09, 60.09 degrees
Positions (direct):
Na1 0.000 0.000 0.000
Ag1 0.500 0.500 0.500
Ag2 0.750 0.750 0.750
Pd1 0.250 0.250 0.250

Calculated values
Its calculated total energy is -3.06 eV/atom. The calculation puts the formation energy from the elements at -4 meV per atom. The density of states at the Fermi level comes out at 0.4785 states/eV/atom.

=====

Here is a geometry-optimized Na4AgPd structure from Alexandria. Energies are from PBE.

Cell lengths 7.776, 7.776, 7.776 Å; angles 124.38, 124.38, 82.56 degrees
Positions (direct):
Na1 0.039 0.539 0.850
Na2 0.189 0.039 0.500
Na3 0.311 0.811 0.850
Na4 0.461 0.311 0.500
Na5 0.539 0.689 0.500
Na6 0.689 0.189 0.150
Na7 0.811 0.961 0.500
Na8 0.961 0.461 0.150
Ag1 0.000 0.000 0.000
Ag2 0.500 0.500 0.000
Pd1 0.250 0.250 0.000
Pd2 0.750 0.750 0.000

Calculated values
Its calculated total energy is -2.27 eV/atom. The calculation puts the formation energy from the elements at -53 meV per atom. The density of states at the Fermi level comes out at 0.3385 states/eV/atom.

=====

Here is a geometry-optimized NaAg2Pd2 structure from Alexandria. Energies are from PBE.

Cell lengths 6.777, 6.777, 6.777 Å; angles 123.62, 123.62, 83.84 degrees
Positions (direct):
Na1 0.000 0.000 0.000
Na2 0.750 0.250 0.500
Ag1 0.503 0.214 0.711
Ag2 0.503 0.792 0.289
Ag3 0.542 0.753 0.789
Ag4 0.964 0.753 0.211
Pd1 0.194 0.490 0.704
Pd2 0.240 0.037 0.796
Pd3 0.240 0.444 0.204
Pd4 0.787 0.490 0.296

Calculated values
Its calculated total energy is -3.19 eV/atom. The energy above the most stable polymorph in this dataset is 339 meV per atom. The calculation puts the formation energy from the elements at 291 meV per atom. The density of states at the Fermi level comes out at 0.3634 states/eV/atom.

=====

Here is a geometry-optimized NaAg5Pd2 structure from Alexandria. Energies are from PBE.

Cell lengths 8.804, 8.804, 9.046 Å; angles 94.51, 94.51, 58.63 degrees
Positions (direct):
Na1 0.007 0.693 0.873
Na2 0.307 0.993 0.627
Na3 0.693 0.007 0.373
Na4 0.993 0.307 0.127
Ag1 0.033 0.104 0.375
Ag2 0.035 0.371 0.616
Ag3 0.104 0.033 0.875
Ag4 0.195 0.521 0.150
Ag5 0.249 0.278 0.880
Ag6 0.278 0.249 0.380
Ag7 0.371 0.035 0.116
Ag8 0.394 0.502 0.880
Ag9 0.479 0.805 0.350
Ag10 0.498 0.606 0.620
Ag11 0.502 0.394 0.380
Ag12 0.521 0.195 0.650
Ag13 0.606 0.498 0.120
Ag14 0.629 0.965 0.884
Ag15 0.722 0.751 0.620
Ag16 0.751 0.722 0.120
Ag17 0.805 0.479 0.850
Ag18 0.896 0.967 0.125
Ag19 0.965 0.629 0.384
Ag20 0.967 0.896 0.625
Pd1 0.202 0.745 0.390
Pd2 0.229 0.527 0.606
Pd3 0.255 0.798 0.110
Pd4 0.473 0.771 0.894
Pd5 0.527 0.229 0.106
Pd6 0.745 0.202 0.890
Pd7 0.771 0.473 0.394
Pd8 0.798 0.255 0.610

Calculated values
Its calculated total energy is -3.21 eV/atom. The energy above the most stable polymorph in this dataset is 0 meV per atom. The calculation puts the formation energy from the elements at 31 meV per atom. The density of states at the Fermi level comes out at 0.3226 states/eV/atom.

=====

Here is a geometry-optimized NaAg2Pd structure from Alexandria. Energies are from PBE.

Cell lengths 4.171, 4.171, 4.099 Å; angles 90.00, 90.00, 90.00 degrees
Positions (direct):
Na1 0.000 0.000 0.000
Ag1 0.000 0.500 0.500
Ag2 0.500 0.000 0.500
Pd1 0.500 0.500 0.000

Calculated values
Its calculated total energy is -3.11 eV/atom. The calculation puts the formation energy from the elements at -59 meV per atom. The density of states at the Fermi level comes out at 0.3156 states/eV/atom.

=====

Here is a geometry-optimized Na2Ag9Pd structure from Alexandria. Energies are from PBE.

Cell lengths 7.470, 7.470, 9.170 Å; angles 125.49, 125.49, 35.65 degrees
Positions (direct):
Na1 0.115 0.115 0.313
Na2 0.885 0.885 0.687
Ag1 0.145 0.145 0.011
Ag2 0.241 0.241 0.780
Ag3 0.368 0.368 0.456
Ag4 0.407 0.407 0.201
Ag5 0.500 0.500 0.000
Ag6 0.593 0.593 0.799
Ag7 0.632 0.632 0.544
Ag8 0.759 0.759 0.220
Ag9 0.855 0.855 0.989
Pd1 0.000 0.000 0.500

Calculated values
Its calculated total energy is -2.76 eV/atom. The calculation puts the formation energy from the elements at 27 meV per atom. The density of states at the Fermi level comes out at 0.2806 states/eV/atom.